Entry 1:
Dy2GaPb | the Open Quantum Materials Database | PBE | optimized geometry; volume = 30.82 Å³/atom; size of the total moment = 0.00 μB/f.u.; raw total energy = -3.8173 eV per atom; space group = Amm2, No. 38
1.0
3.306 0.000 0.000
0.000 3.038 6.138
0.000 -3.038 6.138
Dy Ga Pb
2 1 1
direct
0.000 0.000 0.000 Dy
0.000 0.286 0.286 Dy
0.000 0.773 0.773 Ga
0.000 0.549 0.549 Pb

=====

Entry 2:
DyGaPbSe3 | the Open Quantum Materials Database | PBE | optimized geometry; volume = 26.77 Å³/atom; size of the total moment = 0.01 μB/f.u.; raw total energy = -4.4732 eV per atom; space group = Cmcm, No. 63
1.0
2.133 -7.006 0.000
2.133 7.006 0.000
0.000 0.000 10.748
Dy Ga Pb Se
2 2 2 6
direct
0.000 0.000 0.000 Dy
0.000 0.000 0.500 Dy
0.449 0.551 0.750 Ga
0.551 0.449 0.250 Ga
0.267 0.733 0.250 Pb
0.733 0.267 0.750 Pb
0.082 0.918 0.750 Se
0.359 0.641 0.531 Se
0.359 0.641 0.969 Se
0.641 0.359 0.031 Se
0.641 0.359 0.469 Se
0.918 0.082 0.250 Se

=====

Entry 3:
DyGaTe3Pb | the Open Quantum Materials Database | PBE | optimized geometry; volume = 31.09 Å³/atom; size of the total moment = 0.01 μB/f.u.; raw total energy = -4.0575 eV per atom; space group = Cmcm, No. 63
1.0
2.234 -7.508 0.000
2.234 7.508 0.000
0.000 0.000 11.120
Dy Ga Te Pb
2 2 6 2
direct
0.000 0.000 0.000 Dy
0.000 0.000 0.500 Dy
0.466 0.534 0.750 Ga
0.534 0.466 0.250 Ga
0.096 0.904 0.750 Te
0.356 0.644 0.540 Te
0.356 0.644 0.960 Te
0.644 0.356 0.040 Te
0.644 0.356 0.460 Te
0.904 0.096 0.250 Te
0.247 0.753 0.250 Pb
0.753 0.247 0.750 Pb

=====

Entry 4:
Dy2Ga3Pd4 | the Open Quantum Materials Database | PBE | optimized geometry; volume = 18.23 Å³/atom; size of the total moment = 0.01 μB/f.u.; raw total energy = -5.1886 eV per atom; space group = Cmce, No. 64
1.0
2.799 -7.609 0.000
2.799 7.609 0.000
0.000 0.000 7.703
Dy Ga Pd
4 6 8
direct
0.110 0.890 0.917 Dy
0.390 0.610 0.417 Dy
0.610 0.390 0.583 Dy
0.890 0.110 0.083 Dy
0.000 0.000 0.500 Ga
0.019 0.481 0.750 Ga
0.481 0.019 0.250 Ga
0.500 0.500 0.000 Ga
0.519 0.981 0.750 Ga
0.981 0.519 0.250 Ga
0.182 0.818 0.519 Pd
0.190 0.310 0.750 Pd
0.310 0.190 0.250 Pd
0.318 0.682 0.019 Pd
0.682 0.318 0.981 Pd
0.690 0.810 0.750 Pd
0.810 0.690 0.250 Pd
0.818 0.182 0.481 Pd